*A*
The following is a PBE calculation of CdGeI3 after structural relaxation, from Alexandria via LeMat-Bulk.

Output
V: 43.898 Å³/atom
Total magnetic moment: 0.0 μB/cell
Theoretical density: 4280 kg/m3

Cell: 13.940 10.495 6.001 Å, 90.00 90.00 90.00°
Space group Cmc2_1 (No. 36)
Asymmetric unit:
Cd 0.000 0.159 0.000 x4
Ge 0.000 0.485 0.486 x4
I 0.000 0.117 0.500 x4
I 0.154 0.340 0.000 x8

*B*
The following is a PBE calculation of CdGeI3 after structural relaxation, from Alexandria via LeMat-Bulk.

Output
V: 38.744 Å³/atom
Total magnetic moment: 0.0 μB/cell
Theoretical density: 4850 kg/m3

Cell: 5.786 5.786 5.786 Å, 90.00 90.00 90.00°
Space group Pm-3m (No. 221)
Asymmetric unit:
Cd 0.000 0.000 0.000 x1
Ge 0.500 0.500 0.500 x1
I 0.000 0.500 0.500 x3

*C*
The following is a PBE calculation of CdGeI3 after structural relaxation, from Alexandria via LeMat-Bulk.

Output
V: 39.884 Å³/atom
Total magnetic moment: 0.9 μB/cell
Theoretical density: 4711 kg/m3

Cell: 5.842 5.842 5.842 Å, 90.00 90.00 90.00°
Space group Pm-3m (No. 221)
Asymmetric unit:
Cd 0.000 0.000 0.000 x1
Ge 0.500 0.500 0.500 x1
I 0.000 0.000 0.500 x3

Verdict on stability: *C* comes out at the bottom.

*A*
The following is a PBE calculation of Cd2GeI after structural relaxation, from Alexandria via LeMat-Bulk.

Output
V: 26.679 Å³/atom
Total magnetic moment: 0.0 μB/cell
Theoretical density: 6603 kg/m3

Cell: 7.529 7.529 7.529 Å, 90.00 90.00 90.00°
Space group Fm-3m (No. 225)
Asymmetric unit:
Cd 0.250 0.250 0.250 x8
Ge 0.000 0.000 0.000 x4
I 0.000 0.000 0.500 x4

*B*
The following is a PBE calculation of Cd2GeI after structural relaxation, from Alexandria via LeMat-Bulk.

Output
V: 36.044 Å³/atom
Total magnetic moment: 3.7 μB/cell
Theoretical density: 4888 kg/m3

Cell: 6.723 6.723 12.761 Å, 90.00 90.00 90.00°
Space group I-42d (No. 122)
Asymmetric unit:
Cd 0.189 0.250 0.125 x8
Ge 0.000 0.000 0.000 x4
I 0.000 0.000 0.500 x4

Verdict on stability: *A* comes out at the bottom.

*A*
The following is a PBE calculation of Cd3GeI after structural relaxation, from Alexandria via LeMat-Bulk.

Output
V: 39.501 Å³/atom
Total magnetic moment: 0.9 μB/cell
Theoretical density: 4513 kg/m3

Cell: 5.824 5.824 5.824 Å, 90.00 90.00 90.00°
Space group Pm-3m (No. 221)
Asymmetric unit:
Cd 0.000 0.000 0.500 x3
Ge 0.500 0.500 0.500 x1
I 0.000 0.000 0.000 x1

*B*
The following is a PBE calculation of Cd3GeI after structural relaxation, from Alexandria via LeMat-Bulk.

Output
V: 30.765 Å³/atom
Total magnetic moment: 0.0 μB/cell
Theoretical density: 5795 kg/m3

Cell: 5.358 5.358 5.358 Å, 90.00 90.00 90.00°
Space group Pm-3m (No. 221)
Asymmetric unit:
Cd 0.000 0.000 0.500 x3
Ge 0.000 0.000 0.000 x1
I 0.500 0.500 0.500 x1

Verdict on stability: *A* comes out at the bottom.

*A*
The following is a PBE calculation of CdGe2I6 after structural relaxation, from Alexandria via LeMat-Bulk.

Output
V: 40.724 Å³/atom
Total magnetic moment: 0.0 μB/cell
Theoretical density: 4617 kg/m3

Cell: 16.322 4.304 11.231 Å, 90.00 111.71 90.00°
Space group C2/m (No. 12)
Asymmetric unit:
Cd 0.000 0.000 0.000 x2
Ge 0.167 0.500 0.336 x4
I 0.027 0.000 0.284 x4
I 0.139 0.500 0.052 x4
I 0.193 0.500 0.616 x4

*B*
The following is a PBE calculation of CdGe2I6 after structural relaxation, from Alexandria via LeMat-Bulk.

Output
V: 41.415 Å³/atom
Total magnetic moment: 0.0 μB/cell
Theoretical density: 4540 kg/m3

Cell: 13.796 19.000 6.393 Å, 90.00 117.15 90.00°
Space group C2/c (No. 15)
Asymmetric unit:
Cd 0.000 0.181 0.250 x4
Ge 0.140 0.407 0.597 x8
I 0.128 0.085 0.131 x8
I 0.129 0.416 0.151 x8
I 0.138 0.259 0.651 x8

Verdict on stability: *B* comes out at the bottom.

*A*
The following is a PBE calculation of CdGeSbI2 after structural relaxation, from Alexandria via LeMat-Bulk.

Output
V: 37.376 Å³/atom
Total magnetic moment: 0.0 μB/cell
Theoretical density: 4981 kg/m3

Cell: 5.712 5.712 5.728 Å, 90.00 90.00 90.00°
Space group P4/mmm (No. 123)
Asymmetric unit:
Cd 0.000 0.000 0.000 x1
Ge 0.500 0.500 0.500 x1
Sb 0.000 0.000 0.500 x1
I 0.000 0.500 0.000 x2

*B*
The following is a PBE calculation of CdGeSbI2 after structural relaxation, from Alexandria via LeMat-Bulk.

Output
V: 37.175 Å³/atom
Total magnetic moment: 1.1 μB/cell
Theoretical density: 5008 kg/m3

Cell: 5.726 5.726 5.669 Å, 90.00 90.00 90.00°
Space group P4/mmm (No. 123)
Asymmetric unit:
Cd 0.000 0.000 0.000 x1
Ge 0.500 0.500 0.500 x1
Sb 0.500 0.500 0.000 x1
I 0.000 0.500 0.500 x2

Verdict on stability: *A* comes out at the bottom.

*A*
The following is a PBE calculation of CdGeTe2I after structural relaxation, from Alexandria via LeMat-Bulk.

Output
V: 34.104 Å³/atom
Total magnetic moment: 0.0 μB/cell
Theoretical density: 5523 kg/m3

Cell: 5.480 5.480 5.678 Å, 90.00 90.00 90.00°
Space group P4/mmm (No. 123)
Asymmetric unit:
Cd 0.000 0.000 0.000 x1
Ge 0.500 0.500 0.500 x1
Te 0.000 0.500 0.500 x2
I 0.500 0.500 0.000 x1

*B*
The following is a PBE calculation of CdGeTe2I after structural relaxation, from Alexandria via LeMat-Bulk.

Output
V: 36.067 Å³/atom
Total magnetic moment: 0.0 μB/cell
Theoretical density: 5222 kg/m3

Cell: 5.603 5.603 5.745 Å, 90.00 90.00 90.00°
Space group P4/mmm (No. 123)
Asymmetric unit:
Cd 0.000 0.000 0.000 x1
Ge 0.500 0.500 0.500 x1
Te 0.000 0.500 0.000 x2
I 0.000 0.000 0.500 x1

*C*
The following is a PBE calculation of CdGeTe2I after structural relaxation, from Alexandria via LeMat-Bulk.

Output
V: 34.410 Å³/atom
Total magnetic moment: 0.0 μB/cell
Theoretical density: 5474 kg/m3

Cell: 5.626 5.626 5.436 Å, 90.00 90.00 90.00°
Space group P4/mmm (No. 123)
Asymmetric unit:
Cd 0.000 0.000 0.000 x1
Ge 0.000 0.000 0.500 x1
Te 0.000 0.500 0.000 x2
I 0.500 0.500 0.500 x1

Verdict on stability: *C* comes out at the bottom.

*A*
The following is a PBE calculation of CdIn2Ge2 after structural relaxation, from Alexandria via LeMat-Bulk.

Output
V: 25.805 Å³/atom
Total magnetic moment: 0.0 μB/cell
Theoretical density: 6272 kg/m3

Cell: 4.983 4.983 10.394 Å, 90.00 90.00 90.00°
Space group I4/mmm (No. 139)
Asymmetric unit:
Cd 0.000 0.000 0.000 x2
In 0.000 0.500 0.250 x4
Ge 0.000 0.000 0.382 x4

*B*
The following is a PBE calculation of CdIn2Ge2 after structural relaxation, from Alexandria via LeMat-Bulk.

Output
V: 24.800 Å³/atom
Total magnetic moment: 0.0 μB/cell
Theoretical density: 6526 kg/m3

Cell: 3.776 3.776 17.391 Å, 90.00 90.00 90.00°
Space group I4/mmm (No. 139)
Asymmetric unit:
Cd 0.000 0.000 0.000 x2
In 0.000 0.000 0.393 x4
Ge 0.000 0.500 0.250 x4

*C*
The following is a PBE calculation of CdIn2Ge2 after structural relaxation, from Alexandria via LeMat-Bulk.

Output
V: 31.681 Å³/atom
Total magnetic moment: 0.0 μB/cell
Theoretical density: 5109 kg/m3

Cell: 5.270 5.270 5.704 Å, 90.00 90.00 90.00°
Space group P4/mmm (No. 123)
Asymmetric unit:
Cd 0.000 0.000 0.000 x1
In 0.500 0.500 0.000 x1
In 0.500 0.500 0.500 x1
Ge 0.000 0.500 0.500 x2

Verdict on stability: *C* comes out at the bottom.

*A*
The following is a PBE calculation of CdIn2Ge2 after structural relaxation, from Alexandria via LeMat-Bulk.

Output
V: 24.056 Å³/atom
Total magnetic moment: 0.0 μB/cell
Theoretical density: 6728 kg/m3

Cell: 8.661 8.661 3.207 Å, 90.00 90.00 90.00°
Space group P4/mbm (No. 127)
Asymmetric unit:
Cd 0.000 0.000 0.000 x2
In 0.158 0.342 0.000 x4
Ge 0.135 0.635 0.500 x4

*B*
The following is a PBE calculation of CdIn2Ge2 after structural relaxation, from Alexandria via LeMat-Bulk.

Output
V: 24.044 Å³/atom
Total magnetic moment: 0.0 μB/cell
Theoretical density: 6731 kg/m3

Cell: 7.547 7.547 4.221 Å, 90.00 90.00 90.00°
Space group P4/mbm (No. 127)
Asymmetric unit:
Cd 0.000 0.000 0.000 x2
In 0.174 0.326 0.500 x4
Ge 0.127 0.627 0.000 x4

Verdict on stability: *A* comes out at the bottom.

*A*
The following is a PBE calculation of Cd2InGe after structural relaxation, from Alexandria via LeMat-Bulk.

Output
V: 23.281 Å³/atom
Total magnetic moment: 0.0 μB/cell
Theoretical density: 7352 kg/m3

Cell: 3.767 3.767 6.563 Å, 90.00 90.00 90.00°
Space group P4/mmm (No. 123)
Asymmetric unit:
Cd 0.000 0.000 0.232 x2
In 0.500 0.500 0.500 x1
Ge 0.500 0.500 0.000 x1

*B*
The following is a PBE calculation of Cd2InGe after structural relaxation, from Alexandria via LeMat-Bulk.

Output
V: 25.387 Å³/atom
Total magnetic moment: 0.0 μB/cell
Theoretical density: 6742 kg/m3

Cell: 4.5174 4.5174 17.2378 Å, 90.00 90.00 120.00°
Space group R3m (No. 160, hexagonal axes)
Asymmetric unit:
Cd 0.0000 0.0000 0.0000 x3
Cd 0.0000 0.0000 0.1946 x3
In 0.0000 0.0000 0.4245 x3
Ge 0.0000 0.0000 0.5963 x3

Verdict on stability: *A* comes out at the bottom.

*A*
The following is a PBE calculation of Cd2InGe after structural relaxation, from Alexandria via LeMat-Bulk.

Output
V: 23.837 Å³/atom
Total magnetic moment: 0.0 μB/cell
Theoretical density: 7180 kg/m3

Cell: 3.1010 3.1010 34.3482 Å, 90.00 90.00 120.00°
Space group R-3m (No. 166, hexagonal axes)
Asymmetric unit:
Cd 0.0000 0.0000 0.0907 x6
In 0.0000 0.0000 0.0000 x3
Ge 0.0000 0.0000 0.5000 x3

*B*
The following is a PBE calculation of Cd2InGe after structural relaxation, from Alexandria via LeMat-Bulk.

Output
V: 22.903 Å³/atom
Total magnetic moment: 0.0 μB/cell
Theoretical density: 7473 kg/m3

Cell: 4.491 4.491 4.543 Å, 90.00 90.00 90.00°
Space group P4/mmm (No. 123)
Asymmetric unit:
Cd 0.000 0.500 0.000 x2
In 0.000 0.000 0.500 x1
Ge 0.500 0.500 0.500 x1

Verdict on stability: *A* comes out at the bottom.

*A*
The following is a PBE calculation of Cd2InGe after structural relaxation, from Alexandria via LeMat-Bulk.

Output
V: 23.991 Å³/atom
Total magnetic moment: 0.0 μB/cell
Theoretical density: 7134 kg/m3

Cell: 4.275 4.275 21.002 Å, 90.00 90.00 90.00°
Space group I-42d (No. 122)
Asymmetric unit:
Cd 0.243 0.250 0.125 x8
In 0.000 0.000 0.500 x4
Ge 0.000 0.000 0.000 x4

*B*
The following is a PBE calculation of Cd2InGe after structural relaxation, from Alexandria via LeMat-Bulk.

Output
V: 23.439 Å³/atom
Total magnetic moment: 0.0 μB/cell
Theoretical density: 7302 kg/m3

Cell: 7.211 7.211 7.211 Å, 90.00 90.00 90.00°
Space group Fm-3m (No. 225)
Asymmetric unit:
Cd 0.250 0.250 0.250 x8
In 0.000 0.000 0.000 x4
Ge 0.000 0.000 0.500 x4

Verdict on stability: *B* comes out at the bottom.

*A*
The following is a PBE calculation of PuCdInGe after structural relaxation, from Alexandria via LeMat-Bulk.

Output
V: 23.429 Å³/atom
Total magnetic moment: 22.2 μB/cell
Theoretical density: 9637 kg/m3

Cell: 7.210 7.210 7.210 Å, 90.00 90.00 90.00°
Space group F-43m (No. 216)
Asymmetric unit:
Pu 0.000 0.000 0.000 x4
Cd 0.000 0.000 0.500 x4
In 0.250 0.250 0.750 x4
Ge 0.250 0.250 0.250 x4

*B*
The following is a PBE calculation of PuCdInGe after structural relaxation, from Alexandria via LeMat-Bulk.

Output
V: 23.062 Å³/atom
Total magnetic moment: 5.4 μB/cell
Theoretical density: 9790 kg/m3

Cell: 4.320 4.344 4.916 Å, 90.00 90.00 90.00°
Space group Pmmm (No. 47)
Asymmetric unit:
Pu 0.000 0.000 0.000 x1
Cd 0.000 0.500 0.500 x1
In 0.500 0.000 0.500 x1
Ge 0.500 0.500 0.000 x1

Verdict on stability: *A* comes out at the bottom.